{
  "formula": "TaBeBi2",
  "functional": "PBE",
  "state": "relaxed",
  "formation_energy_mev_per_atom": 960,
  "lattice_angstrom": [[-3.1617, 3.1617, 5.9540], [3.1617, -3.1617, 5.9540], [3.1617, 3.1617, -5.9540]],
  "species": ["Ta", "Ta", "Be", "Be", "Bi", "Bi", "Bi", "Bi"],
  "frac_coords": [[0.0000, 0.0000, 0.0000], [0.7500, 0.2500, 0.5000], [0.2500, 0.7500, 0.5000], [0.5000, 0.5000, 0.0000], [0.1581, 0.6250, 0.0331], [0.3750, 0.4081, 0.5331], [0.5919, 0.1250, 0.9669], [0.8750, 0.8419, 0.4669]]
}



{
  "formula": "LiTa2Se",
  "functional": "PBE",
  "state": "relaxed",
  "raw_formation_energy_ev_per_atom": 0.199,
  "lattice_angstrom": [[2.9141, 0.0000, 0.0000], [0.0000, 4.7277, 0.0000], [-0.0610, 0.0000, 5.1028]],
  "species": ["Li", "Ta", "Ta", "Se"],
  "frac_coords": [[0.0000, 0.0000, 0.0000], [0.3347, 0.5000, 0.2380], [0.6653, 0.5000, 0.7620], [0.5000, 0.0000, 0.5000]]
}



{
  "formula": "Er4SnC",
  "functional": "PBE",
  "state": "relaxed",
  "formation_energy_mev_per_atom": -406,
  "lattice_angstrom": [[2.4240, -9.1312, 0.0000], [2.4240, 9.1312, 0.0000], [0.0000, 0.0000, 6.7232]],
  "species": ["Er", "Er", "Er", "Er", "Er", "Er", "Er", "Er", "Sn", "Sn", "C", "C"],
  "frac_coords": [[0.0004, 0.9996, 0.0000], [0.9996, 0.0004, 0.5000], [0.1838, 0.8162, 0.5063], [0.1845, 0.8155, 0.9974], [0.4017, 0.5983, 0.7509], [0.5983, 0.4017, 0.2509], [0.8155, 0.1845, 0.4974], [0.8162, 0.1838, 0.0063], [0.4081, 0.5919, 0.2508], [0.5919, 0.4081, 0.7508], [0.0969, 0.9031, 0.2510], [0.9031, 0.0969, 0.7510]]
}



{
  "formula": "Li5Ca3Cd",
  "functional": "PBE",
  "state": "relaxed",
  "formation_energy_mev_per_atom": -50,
  "lattice_angstrom": [[7.6680, 0.0000, 0.0000], [-3.8340, 6.6407, 0.0000], [0.0000, 0.0000, 4.8761]],
  "species": ["Li", "Li", "Li", "Li", "Li", "Ca", "Ca", "Ca", "Cd"],
  "frac_coords": [[0.0000, 0.2248, 0.0000], [0.2248, 0.0000, 0.0000], [0.3333, 0.6667, 0.0000], [0.6667, 0.3333, 0.0000], [0.7752, 0.7752, 0.0000], [0.0000, 0.5798, 0.5000], [0.4202, 0.4202, 0.5000], [0.5798, 0.0000, 0.5000], [0.0000, 0.0000, 0.5000]]
}



{
  "formula": "TiNbFeTc",
  "functional": "PBE",
  "state": "relaxed",
  "formation_energy_mev_per_atom": -340,
  "lattice_angstrom": [[0.0000, 3.0861, 3.0861], [3.0861, 0.0000, 3.0861], [3.0861, 3.0861, 0.0000]],
  "species": ["Ti", "Nb", "Fe", "Tc"],
  "frac_coords": [[0.0000, 0.0000, 0.0000], [0.5000, 0.5000, 0.5000], [0.2500, 0.2500, 0.2500], [0.7500, 0.7500, 0.7500]]
}



{
  "formula": "TbHoLuMn",
  "functional": "PBE",
  "state": "relaxed",
  "formation_energy_mev_per_atom": 268,
  "lattice_angstrom": [[0.0000, 3.7484, 3.7484], [3.7484, 0.0000, 3.7484], [3.7484, 3.7484, 0.0000]],
  "species": ["Tb", "Ho", "Lu", "Mn"],
  "frac_coords": [[0.0000, 0.0000, 0.0000], [0.5000, 0.5000, 0.5000], [0.7500, 0.7500, 0.7500], [0.2500, 0.2500, 0.2500]]
}